# ZnCd2Rh

An optimized crystal structure of ZnCd2Rh (GGA-PBE, the Alexandria database). Values from VASP.

Results
SG	No. 216
final energy	-2.676	eV per atom
calculated formation energy	-62	meV/atom

Cell and atoms, written as Quantum ESPRESSO input:
```
&SYSTEM
  ibrav = 0, nat = 4, ntyp = 3
/
ATOMIC_SPECIES
Cd 112.41 Cd.upf
Rh 102.91 Rh.upf
Zn 65.41 Zn.upf
CELL_PARAMETERS angstrom
-4.4350 -0.9846 0.6892
-1.1794 -3.7948 2.3068
-1.8009 0.3393 4.2137
ATOMIC_POSITIONS angstrom
Cd 0.0000 0.0000 0.0000
Cd -1.8538 -1.1100 1.8024
Rh -3.7076 -2.2201 3.6048
Zn -5.5614 -3.3301 5.4072
```